Version a
A plane-wave DFT calculation with GGA-PBE was carried out for a relaxed CuSiSbTe2 crystal.

Cell and atoms, written as CIF:
```
data_CuSiSbTe2
_cell_length_a 5.206
_cell_length_b 5.206
_cell_length_c 4.924
_cell_angle_alpha 90.00
_cell_angle_beta 90.00
_cell_angle_gamma 90.00
_space_group_name_H-M_alt 'P 1'
_space_group_IT_number 1
loop_
_space_group_symop_operation_xyz
'x,y,z'
loop_
_atom_site_label
_atom_site_fract_x
_atom_site_fract_y
_atom_site_fract_z
Sb1 0.000 0.000 0.500
Si1 0.500 0.500 0.500
Te1 0.000 0.500 0.000
Te2 0.500 0.000 0.000
Cu1 0.000 0.000 0.000
```

Results
* density of states at the Fermi level: 3.11 states/eV/f.u.

Version b
A plane-wave DFT calculation with GGA-PBE was carried out for a relaxed CuSiSbTe2 crystal.

Cell and atoms, written as CIF:
```
data_CuSiSbTe2
_cell_length_a 5.247
_cell_length_b 5.247
_cell_length_c 5.199
_cell_angle_alpha 90.00
_cell_angle_beta 90.00
_cell_angle_gamma 90.00
_space_group_name_H-M_alt 'P 1'
_space_group_IT_number 1
loop_
_space_group_symop_operation_xyz
'x,y,z'
loop_
_atom_site_label
_atom_site_fract_x
_atom_site_fract_y
_atom_site_fract_z
Sb1 0.000 0.000 0.500
Si1 0.000 0.000 0.000
Te1 0.000 0.500 0.000
Te2 0.500 0.000 0.000
Cu1 0.500 0.500 0.500
```

Results
* density of states at the Fermi level: 3.66 states/eV/f.u.

Which is most stable? The ranking, best first, is version a, version b.

Version a
A plane-wave DFT calculation with GGA-PBE was carried out for a relaxed Cu2SnSb crystal.

Cell and atoms, written as CIF:
```
data_Cu2SnSb
_cell_length_a 4.559
_cell_length_b 4.559
_cell_length_c 8.855
_cell_angle_alpha 75.08
_cell_angle_beta 75.08
_cell_angle_gamma 90.00
_space_group_name_H-M_alt 'P 1'
_space_group_IT_number 1
loop_
_space_group_symop_operation_xyz
'x,y,z'
loop_
_atom_site_label
_atom_site_fract_x
_atom_site_fract_y
_atom_site_fract_z
Sb1 0.000 0.000 0.000
Sb2 0.750 0.250 0.500
Sn1 0.500 0.500 0.000
Sn2 0.250 0.750 0.500
Cu1 0.632 0.125 0.250
Cu2 0.118 0.625 0.250
Cu3 0.375 0.368 0.750
Cu4 0.875 0.882 0.750
```

Results
* density of states at the Fermi level: 2.16 states/eV/f.u.

Version b
A plane-wave DFT calculation with GGA-PBE was carried out for a relaxed Cu2SnSb crystal.

Cell and atoms, written as CIF:
```
data_Cu2SnSb
_cell_length_a 4.788
_cell_length_b 4.788
_cell_length_c 4.788
_cell_angle_alpha 60.00
_cell_angle_beta 60.00
_cell_angle_gamma 60.00
_space_group_name_H-M_alt 'P 1'
_space_group_IT_number 1
loop_
_space_group_symop_operation_xyz
'x,y,z'
loop_
_atom_site_label
_atom_site_fract_x
_atom_site_fract_y
_atom_site_fract_z
Sb1 0.500 0.500 0.500
Sn1 0.000 0.000 0.000
Cu1 0.250 0.250 0.250
Cu2 0.750 0.750 0.750
```

Results
* density of states at the Fermi level: 2.00 states/eV/f.u.

Version c
A plane-wave DFT calculation with GGA-PBE was carried out for a relaxed Cu2SnSb crystal.

Cell and atoms, written as CIF:
```
data_Cu2SnSb
_cell_length_a 3.858
_cell_length_b 3.858
_cell_length_c 6.619
_cell_angle_alpha 73.05
_cell_angle_beta 73.05
_cell_angle_gamma 60.00
_space_group_name_H-M_alt 'P 1'
_space_group_IT_number 1
loop_
_space_group_symop_operation_xyz
'x,y,z'
loop_
_atom_site_label
_atom_site_fract_x
_atom_site_fract_y
_atom_site_fract_z
Sb1 0.000 0.000 0.000
Sn1 0.500 0.500 0.500
Cu1 0.253 0.253 0.241
Cu2 0.747 0.747 0.759
```

Results
* density of states at the Fermi level: 1.48 states/eV/f.u.

Version d
A plane-wave DFT calculation with GGA-PBE was carried out for a relaxed Cu2SnSb crystal.

Cell and atoms, written as CIF:
```
data_Cu2SnSb
_cell_length_a 4.073
_cell_length_b 4.073
_cell_length_c 6.191
_cell_angle_alpha 70.79
_cell_angle_beta 70.79
_cell_angle_gamma 60.00
_space_group_name_H-M_alt 'P 1'
_space_group_IT_number 1
loop_
_space_group_symop_operation_xyz
'x,y,z'
loop_
_atom_site_label
_atom_site_fract_x
_atom_site_fract_y
_atom_site_fract_z
Cu1 0.090 0.090 0.731
Cu2 0.243 0.243 0.272
Sn1 0.672 0.672 0.984
Sb1 0.496 0.496 0.513
```

Results
* density of states at the Fermi level: 1.40 states/eV/f.u.

Which is most stable? The ranking, best first, is version d, version c, version a, version b.

Version a
A plane-wave DFT calculation with GGA-PBE was carried out for a relaxed SrCu3Sb2 crystal.

Cell and atoms, written as CIF:
```
data_SrCu3Sb2
_cell_length_a 4.323
_cell_length_b 8.467
_cell_length_c 8.044
_cell_angle_alpha 113.73
_cell_angle_beta 90.00
_cell_angle_gamma 104.79
_space_group_name_H-M_alt 'P 1'
_space_group_IT_number 1
loop_
_space_group_symop_operation_xyz
'x,y,z'
loop_
_atom_site_label
_atom_site_fract_x
_atom_site_fract_y
_atom_site_fract_z
Sr1 0.855 0.709 0.928
Sr2 0.145 0.291 0.072
Cu1 0.305 0.610 0.534
Cu2 0.966 0.932 0.610
Cu3 0.584 0.167 0.613
Cu4 0.416 0.833 0.387
Cu5 0.034 0.068 0.390
Cu6 0.695 0.390 0.466
Sb1 0.478 0.956 0.792
Sb2 0.522 0.044 0.208
Sb3 0.809 0.617 0.313
Sb4 0.191 0.383 0.687
```

Results
* density of states at the Fermi level: 1.24 states/eV/f.u.

Version b
A plane-wave DFT calculation with GGA-PBE was carried out for a relaxed SrCu3Sb2 crystal.

Cell and atoms, written as CIF:
```
data_SrCu3Sb2
_cell_length_a 4.659
_cell_length_b 8.353
_cell_length_c 8.353
_cell_angle_alpha 54.05
_cell_angle_beta 73.81
_cell_angle_gamma 73.81
_space_group_name_H-M_alt 'P 1'
_space_group_IT_number 1
loop_
_space_group_symop_operation_xyz
'x,y,z'
loop_
_atom_site_label
_atom_site_fract_x
_atom_site_fract_y
_atom_site_fract_z
Sr1 0.864 0.135 0.137
Sr2 0.136 0.865 0.863
Cu1 0.311 0.470 0.908
Cu2 0.999 0.343 0.659
Cu3 0.688 0.093 0.530
Cu4 0.312 0.907 0.470
Cu5 0.001 0.657 0.341
Cu6 0.689 0.530 0.092
Sb1 0.500 0.198 0.802
Sb2 0.500 0.802 0.198
Sb3 0.819 0.682 0.681
Sb4 0.181 0.318 0.319
```

Results
* density of states at the Fermi level: 1.04 states/eV/f.u.

Which is most stable? The ranking, best first, is version a, version b.

Version a
A plane-wave DFT calculation with GGA-PBE was carried out for a relaxed Sr2Cu2Sb crystal.

Cell and atoms, written as CIF:
```
data_Sr2Cu2Sb
_cell_length_a 3.704
_cell_length_b 3.704
_cell_length_c 9.918
_cell_angle_alpha 79.24
_cell_angle_beta 79.24
_cell_angle_gamma 90.00
_space_group_name_H-M_alt 'P 1'
_space_group_IT_number 1
loop_
_space_group_symop_operation_xyz
'x,y,z'
loop_
_atom_site_label
_atom_site_fract_x
_atom_site_fract_y
_atom_site_fract_z
Sb1 0.000 0.000 0.000
Cu1 0.750 0.250 0.500
Cu2 0.250 0.750 0.500
Sr1 0.385 0.385 0.230
Sr2 0.615 0.615 0.770
```

Results
* density of states at the Fermi level: 2.27 states/eV/f.u.

Version b
A plane-wave DFT calculation with GGA-PBE was carried out for a relaxed Sr2Cu2Sb crystal.

Cell and atoms, written as CIF:
```
data_Sr2Cu2Sb
_cell_length_a 7.542
_cell_length_b 7.542
_cell_length_c 4.524
_cell_angle_alpha 90.00
_cell_angle_beta 90.00
_cell_angle_gamma 90.00
_space_group_name_H-M_alt 'P 1'
_space_group_IT_number 1
loop_
_space_group_symop_operation_xyz
'x,y,z'
loop_
_atom_site_label
_atom_site_fract_x
_atom_site_fract_y
_atom_site_fract_z
Sb1 0.000 0.000 0.000
Sb2 0.500 0.500 0.000
Cu1 0.387 0.887 0.000
Cu2 0.887 0.613 0.000
Cu3 0.613 0.113 0.000
Cu4 0.113 0.387 0.000
Sr1 0.187 0.687 0.500
Sr2 0.687 0.813 0.500
Sr3 0.813 0.313 0.500
Sr4 0.313 0.187 0.500
```

Results
* density of states at the Fermi level: 1.87 states/eV/f.u.

Which is most stable? The ranking, best first, is version b, version a.